# Li6Sn8Pb, relaxed, DFT PBE
# - Density of states at the Fermi level: 0.396 states/eV per atom
# - Total magnetic moment: 0.0 μB per formula unit
# - Formation energy from the elements: -0.21 eV/atom
data_Li6Sn8Pb
_chemical_formula_sum 'Li18 Sn24 Pb3'
_space_group_name_H-M_alt 'R -3'
_space_group_IT_number 148
_space_group_name_Hall '-R 3'
_cell_length_a 8.2097
_cell_length_b 8.2097
_cell_length_c 17.6245
_cell_angle_alpha 90.00
_cell_angle_beta 90.00
_cell_angle_gamma 120.00
loop_
_atom_site_label
_atom_site_type_symbol
_atom_site_fract_x
_atom_site_fract_y
_atom_site_fract_z
Li1 Li 0.0016 0.3149 0.2159
Sn1 Sn 0.0000 0.0000 0.1475
Sn2 Sn 0.0021 0.3436 0.7140
Pb1 Pb 0.0000 0.0000 0.5000

# Li8Sn2Pb, relaxed, DFT PBE
# - Density of states at the Fermi level: 0.338 states/eV per atom
# - Total magnetic moment: 0.0 μB per formula unit
# - Formation energy from the elements: -0.32 eV/atom
# - Energy above the lowest structure with this stoichiometry: 7.5 meV per atom
data_Li8Sn2Pb
_chemical_formula_sum 'Li16 Sn4 Pb2'
_space_group_name_H-M_alt 'C 1 2/m 1'
_space_group_IT_number 12
_cell_length_a 14.0557
_cell_length_b 4.7119
_cell_length_c 7.2998
_cell_angle_alpha 90.00
_cell_angle_beta 119.90
_cell_angle_gamma 90.00
loop_
_space_group_symop_operation_xyz
'x,y,z'
'-x,-y,-z'
'-x,y,-z'
'x,-y,z'
'x+1/2,y+1/2,z'
'-x+1/2,-y+1/2,-z'
'-x+1/2,y+1/2,-z'
'x+1/2,-y+1/2,z'
loop_
_atom_site_label
_atom_site_type_symbol
_atom_site_fract_x
_atom_site_fract_y
_atom_site_fract_z
Li1 Li 0.0216 0.0000 0.2252
Li2 Li 0.1182 0.5000 0.9455
Li3 Li 0.1552 0.0000 0.7108
Li4 Li 0.1709 0.5000 0.3813
Sn1 Sn 0.2083 0.0000 0.1720
Pb1 Pb 0.0000 0.5000 0.5000

# Li4Sn2Pb5, relaxed, DFT PBE
# - Density of states at the Fermi level: 0.397 states/eV per atom
# - Total magnetic moment: 0.0 μB per formula unit
# - Formation energy from the elements: -0.17 eV/atom
data_Li4Sn2Pb5
_chemical_formula_sum 'Li4 Sn2 Pb5'
_space_group_name_H-M_alt 'P -1'
_space_group_IT_number 2
_cell_length_a 3.3147
_cell_length_b 8.4366
_cell_length_c 10.0033
_cell_angle_alpha 80.32
_cell_angle_beta 89.81
_cell_angle_gamma 89.55
loop_
_space_group_symop_operation_xyz
'x,y,z'
'-x,-y,-z'
loop_
_atom_site_label
_atom_site_type_symbol
_atom_site_fract_x
_atom_site_fract_y
_atom_site_fract_z
Li1 Li 0.9998 0.2005 0.1191
Li2 Li 0.0010 0.7700 0.4242
Sn1 Sn 0.4974 0.0897 0.3606
Pb1 Pb 0.4963 0.1526 0.8590
Pb2 Pb 0.4977 0.5284 0.6619
Pb3 Pb 0.5000 0.5000 0.0000

# LiSn6Pb12, relaxed, DFT PBE
# - Density of states at the Fermi level: 0.401 states/eV per atom
# - Total magnetic moment: 0.0 μB per formula unit
# - Formation energy from the elements: 0.10 eV/atom
data_LiSn6Pb12
_chemical_formula_sum 'Li3 Sn18 Pb36'
_space_group_name_H-M_alt 'R -3'
_space_group_IT_number 148
_space_group_name_Hall '-R 3'
_cell_length_a 13.6737
_cell_length_b 13.6737
_cell_length_c 12.6397
_cell_angle_alpha 90.00
_cell_angle_beta 90.00
_cell_angle_gamma 120.00
loop_
_atom_site_label
_atom_site_type_symbol
_atom_site_fract_x
_atom_site_fract_y
_atom_site_fract_z
Li1 Li 0.0000 0.0000 0.0000
Sn1 Sn 0.0498 0.2286 0.6789
Pb1 Pb 0.0361 0.2304 0.9285
Pb2 Pb 0.0496 0.2403 0.4183

# Li6Sn2Pb, relaxed, DFT PBE
# - Density of states at the Fermi level: 0.265 states/eV per atom
# - Total magnetic moment: 0.0 μB per formula unit
# - Formation energy from the elements: -0.33 eV/atom
# - Energy above the lowest structure with this stoichiometry: 12.3 meV per atom
data_Li6Sn2Pb
_chemical_formula_sum 'Li12 Sn4 Pb2'
_space_group_name_H-M_alt 'C 1 2/m 1'
_space_group_IT_number 12
_cell_length_a 14.0732
_cell_length_b 8.1564
_cell_length_c 3.0077
_cell_angle_alpha 90.00
_cell_angle_beta 90.00
_cell_angle_gamma 90.00
loop_
_space_group_symop_operation_xyz
'x,y,z'
'-x,-y,-z'
'-x,y,-z'
'x,-y,z'
'x+1/2,y+1/2,z'
'-x+1/2,-y+1/2,-z'
'-x+1/2,y+1/2,-z'
'x+1/2,-y+1/2,z'
loop_
_atom_site_label
_atom_site_type_symbol
_atom_site_fract_x
_atom_site_fract_y
_atom_site_fract_z
Li1 Li 0.0000 0.1628 0.0000
Li2 Li 0.1685 0.3318 0.9977
Sn1 Sn 0.1668 0.0000 0.5000
Pb1 Pb 0.0000 0.5000 0.5000

# LiSnPb6, relaxed, DFT PBE
# - Density of states at the Fermi level: 0.428 states/eV per atom
# - Total magnetic moment: 0.0 μB per formula unit
# - Formation energy from the elements: 0.05 eV/atom
# - Energy above the lowest structure with this stoichiometry: 59.6 meV per atom
data_LiSnPb6
_chemical_formula_sum 'Li2 Sn2 Pb12'
_space_group_name_H-M_alt 'C 1 2/m 1'
_space_group_IT_number 12
_cell_length_a 7.4607
_cell_length_b 12.1532
_cell_length_c 6.4846
_cell_angle_alpha 90.00
_cell_angle_beta 124.22
_cell_angle_gamma 90.00
loop_
_space_group_symop_operation_xyz
'x,y,z'
'-x,-y,-z'
'-x,y,-z'
'x,-y,z'
'x+1/2,y+1/2,z'
'-x+1/2,-y+1/2,-z'
'-x+1/2,y+1/2,-z'
'x+1/2,-y+1/2,z'
loop_
_atom_site_label
_atom_site_type_symbol
_atom_site_fract_x
_atom_site_fract_y
_atom_site_fract_z
Li1 Li 0.0000 0.0000 0.0000
Sn1 Sn 0.0000 0.5000 0.5000
Pb1 Pb 0.2449 0.2266 0.2499
Pb2 Pb 0.2473 0.0000 0.7569

formation energy from the elements of number 4 (LiSn6Pb12)? 0.10 eV/atom